A PBEsol-optimized structure of CsNbSb3. Source: Alexandria via LeMat-Bulk, functional meta-GGA SCAN.

Uncorrected energy   -34.38 eV per atom
Theoretical density   5.065 g cm⁻³
Total magnetic moment   2.492 Bohr magnetons per cell

The structure in POSCAR format:
```
CsNbSb3
1.0
5.7867 0.0000 0.0000
0.0000 5.7867 0.0000
0.0000 0.0000 5.7867
Cs Nb Sb
1 1 3
Direct
0.0000 0.0000 0.0000
0.5000 0.5000 0.5000
0.0000 0.0000 0.5000
0.0000 0.5000 0.0000
0.5000 0.0000 0.0000
```